# PrSm4

An optimized crystal structure of PrSm4 (GGA-PBE, Alexandria).

a = 5.7852 Å, b = 5.7852 Å, c = 5.7852 Å
α = 90.00°, β = 90.00°, γ = 90.00°
Closest atoms and distances in Å follow each position.
Space group Pm-3m (No. 221)
Symmetry-distinct sites (fractional):
Pr 0.0000 0.0000 0.0000 (multiplicity 1)  6 Sm 2.89
Sm 0.0000 0.0000 0.5000 (multiplicity 3)  2 Pr 2.89
Sm 0.5000 0.5000 0.5000 (multiplicity 1)  12 Sm 4.09

Summary:
formation enthalpy at 0 K = 60 kJ/mol of atoms
E above lowest polymorph = 610.0 meV/atom
magnetic moment = 0.000 μB/atom
Fermi-level density of states = 9.575 states/eV per cell